Entry from the Alexandria database: a relaxed structure of LiFeCoO4 (PBE+U).

The structure belongs to space group Imma (No. 74); the cell edges are 5.7587, 5.8243 and 8.0035 Å and the angles 90.00°, 90.00° and 90.00°. The inequivalent atoms are Li at (0.0000, 0.2500, 0.1289), Fe at (0.0000, 0.0000, 0.5000), Co at (0.2500, 0.2500, 0.7500), O at (0.0000, 0.0303, 0.7361) and O at (0.2225, 0.2500, 0.5093).

The calculation puts the uncorrected energy at -5.8863 eV/atom. Its total moment is 7.858 Bohr magnetons per cell.